Entry 1:
Entry from Alexandria via LeMat-Bulk: Ti2Au2Se after structural relaxation (PBE).

- E above lowest polymorph: 501 meV per atom
- SG: I4/mmm (139)
- D(E_F): 1.08 states/eV per atom
- E_form (uncorrected): 56 meV/atom
- Magnetization: 0.00 μB per formula unit
- Raw total energy: -51.1 eV for the cell shown

a = 3.9614 Å, b = 3.9614 Å, c = 12.7956 Å
α = 90.00°, β = 90.00°, γ = 90.00°
Fractional coordinates of all 10 atoms:
Ti  0.0000  0.5000  0.2500
Ti  0.0000  0.5000  0.7500
Ti  0.5000  0.0000  0.2500
Ti  0.5000  0.0000  0.7500
Au  0.0000  0.0000  0.1068
Au  0.0000  0.0000  0.8932
Au  0.5000  0.5000  0.3932
Au  0.5000  0.5000  0.6068
Se  0.0000  0.0000  0.5000
Se  0.5000  0.5000  0.0000

Entry 2:
Entry from Alexandria via LeMat-Bulk: NiOs2Se after structural relaxation (PBE).

- SG: C2/m (12)
- D(E_F): 1.06 states/eV per atom
- E_form (uncorrected): 534 meV/atom
- Magnetization: 0.00 μB per formula unit
- Raw total energy: -59.2 eV for the cell shown

a = 8.3125 Å, b = 2.8655 Å, c = 4.8664 Å
α = 90.00°, β = 101.03°, γ = 90.00°
Fractional coordinates of all 8 atoms:
Ni  0.0000  0.0000  0.0000
Ni  0.5000  0.5000  0.0000
Os  0.2478  0.5000  0.2312
Os  0.2522  0.0000  0.7688
Os  0.7478  0.0000  0.2312
Os  0.7522  0.5000  0.7688
Se  0.0000  0.5000  0.5000
Se  0.5000  0.0000  0.5000

Entry 3:
Entry from Alexandria via LeMat-Bulk: GaPd2Au after structural relaxation (PBE).

- SG: I-42d (122)
- D(E_F): 0.48 states/eV per atom
- ΔH_f (0 K): -125 meV per atom
- Magnetization: 0.00 μB per formula unit
- Raw total energy: -68.8 eV for the cell shown

a = 3.8694 Å, b = 3.8694 Å, c = 18.5970 Å
α = 90.00°, β = 90.00°, γ = 90.00°
Fractional coordinates of all 16 atoms:
Ga  0.0000  0.0000  0.0000
Ga  0.0000  0.5000  0.2500
Ga  0.5000  0.0000  0.7500
Ga  0.5000  0.5000  0.5000
Pd  0.2416  0.2500  0.1250
Pd  0.2500  0.7416  0.3750
Pd  0.2500  0.7584  0.8750
Pd  0.2584  0.2500  0.6250
Pd  0.7416  0.7500  0.6250
Pd  0.7500  0.2416  0.8750
Pd  0.7500  0.2584  0.3750
Pd  0.7584  0.7500  0.1250
Au  0.0000  0.0000  0.5000
Au  0.0000  0.5000  0.7500
Au  0.5000  0.0000  0.2500
Au  0.5000  0.5000  0.0000

Entry 4:
Entry from Alexandria via LeMat-Bulk: Ti2AgH2 after structural relaxation (PBE).

- E above lowest polymorph: 0 meV per atom
- SG: I4/mmm (139)
- D(E_F): 0.69 states/eV per atom
- Magnetization: 0.90 μB per formula unit
- Raw total energy: -53.0 eV for the cell shown

a = 3.3902 Å, b = 3.3902 Å, c = 9.7382 Å
α = 90.00°, β = 90.00°, γ = 90.00°
Fractional coordinates of all 10 atoms:
Ti  0.0000  0.0000  0.1597
Ti  0.0000  0.0000  0.8403
Ti  0.5000  0.5000  0.3403
Ti  0.5000  0.5000  0.6597
Ag  0.0000  0.0000  0.5000
Ag  0.5000  0.5000  0.0000
H  0.0000  0.5000  0.2500
H  0.0000  0.5000  0.7500
H  0.5000  0.0000  0.2500
H  0.5000  0.0000  0.7500

Entry 5:
Entry from Alexandria via LeMat-Bulk: Mn3HOs after structural relaxation (PBE).

- E above lowest polymorph: 168 meV per atom
- SG: R-3c (167)
- D(E_F): 0.84 states/eV per atom
- Magnetization: 0.00 μB per formula unit
- Raw total energy: -82.9 eV for the cell shown

a = 4.6422 Å, b = 4.6422 Å, c = 4.6422 Å
α = 94.27°, β = 94.27°, γ = 94.27°
Fractional coordinates of all 10 atoms:
Mn  0.0337  0.7500  0.4663
Mn  0.2500  0.5337  0.9663
Mn  0.4663  0.0337  0.7500
Mn  0.5337  0.9663  0.2500
Mn  0.7500  0.4663  0.0337
Mn  0.9663  0.2500  0.5337
H  0.2500  0.2500  0.2500
H  0.7500  0.7500  0.7500
Os  0.0000  0.0000  0.0000
Os  0.5000  0.5000  0.5000

Entry 6:
Entry from Alexandria via LeMat-Bulk: Pr3NpN5 after structural relaxation (PBE).

- SG: I4/mcm (140)
- D(E_F): 0.80 states/eV per atom
- E_form (uncorrected): -790 meV/atom
- Magnetization: 1.02 μB per formula unit
- Raw total energy: -152.0 eV for the cell shown

a = 7.9077 Å, b = 7.9077 Å, c = 7.9077 Å
α = 128.15°, β = 128.15°, γ = 76.39°
Fractional coordinates of all 18 atoms:
Pr  0.1767  0.6767  0.8534
Pr  0.2500  0.2500  0.0000
Pr  0.3233  0.1767  0.5000
Pr  0.6767  0.8233  0.5000
Pr  0.7500  0.7500  0.0000
Pr  0.8233  0.3233  0.1466
Np  0.2500  0.7500  0.5000
Np  0.7500  0.2500  0.5000
N  0.0000  0.0000  0.0000
N  0.0155  0.1941  0.5000
N  0.1941  0.6941  0.1787
N  0.3059  0.4845  0.5000
N  0.4845  0.9845  0.1787
N  0.5000  0.5000  0.0000
N  0.5155  0.0155  0.8213
N  0.6941  0.5155  0.5000
N  0.8059  0.3059  0.8213
N  0.9845  0.8059  0.5000

Entry 7:
Entry from Alexandria via LeMat-Bulk: Tb2Ag3BiS6 after structural relaxation (PBE).

- SG: C2/m (12)
- E_form (uncorrected): -928 meV/atom
- Magnetization: 0.00 μB per formula unit
- Raw total energy: -57.6 eV for the cell shown

a = 8.8025 Å, b = 8.8025 Å, c = 7.7515 Å
α = 99.39°, β = 99.39°, γ = 26.53°
Fractional coordinates of all 12 atoms:
Tb  0.1675  0.1675  0.3271
Tb  0.8325  0.8325  0.6729
Ag  0.1730  0.1730  0.8127
Ag  0.5000  0.5000  0.5000
Ag  0.8270  0.8270  0.1873
Bi  0.5000  0.5000  0.0000
S  0.0022  0.0022  0.2577
S  0.3307  0.3307  0.4270
S  0.3335  0.3335  0.9183
S  0.6665  0.6665  0.0817
S  0.6693  0.6693  0.5730
S  0.9978  0.9978  0.7423

Entry 8:
Entry from Alexandria via LeMat-Bulk: Ag2C2O5 after structural relaxation (PBE).

- E above lowest polymorph: 0 meV per atom
- SG: P1 (1)
- D(E_F): 0.00 states/eV per atom
- E_form (uncorrected): -846 meV/atom
- Magnetization: 0.00 μB per formula unit
- Raw total energy: -56.6 eV for the cell shown

a = 3.9102 Å, b = 5.4735 Å, c = 6.6740 Å
α = 69.62°, β = 83.95°, γ = 78.82°
Fractional coordinates of all 9 atoms:
Ag  0.0000  0.0000  0.0000
Ag  0.1821  0.2304  0.3191
C  0.3338  0.4973  0.8338
C  0.6457  0.6740  0.4844
O  0.1466  0.5771  0.9733
O  0.4186  0.7072  0.6554
O  0.4310  0.2611  0.8416
O  0.6106  0.8840  0.3205
O  0.8527  0.4637  0.5093

Entry 9:
Entry from Alexandria via LeMat-Bulk: NdRuC2 after structural relaxation (PBE).

- E above lowest polymorph: 537 meV per atom
- SG: R-3m (166)
- D(E_F): 0.51 states/eV per atom
- ΔH_f (0 K): 415 meV per atom
- Magnetization: 0.00 μB per formula unit
- Raw total energy: -92.5 eV for the cell shown

a = 3.3966 Å, b = 3.3966 Å, c = 15.9071 Å
α = 90.00°, β = 90.00°, γ = 120.00°
Fractional coordinates of all 12 atoms:
Nd  0.0000  0.0000  0.0000
Nd  0.3333  0.6667  0.6667
Nd  0.6667  0.3333  0.3333
Ru  0.0000  0.0000  0.5000
Ru  0.3333  0.6667  0.1667
Ru  0.6667  0.3333  0.8333
C  0.0000  0.0000  0.2273
C  0.0000  0.0000  0.7727
C  0.3333  0.6667  0.4394
C  0.3333  0.6667  0.8940
C  0.6667  0.3333  0.1060
C  0.6667  0.3333  0.5606

Entry 10:
Entry from Alexandria via LeMat-Bulk: LiSm2AuO5 after structural relaxation (PBE).

- SG: P4/mbm (127)
- D(E_F): 0.00 states/eV per atom
- E_form (uncorrected): -2116 meV/atom
- Magnetization: 0.00 μB per formula unit
- Raw total energy: -116.9 eV for the cell shown

a = 6.6962 Å, b = 6.6962 Å, c = 5.9111 Å
α = 90.00°, β = 90.00°, γ = 90.00°
Fractional coordinates of all 18 atoms:
Li  0.0000  0.0000  0.0000
Li  0.5000  0.5000  0.0000
Sm  0.1771  0.3229  0.5000
Sm  0.3229  0.8229  0.5000
Sm  0.6771  0.1771  0.5000
Sm  0.8229  0.6771  0.5000
Au  0.0000  0.5000  0.0000
Au  0.5000  0.0000  0.0000
O  0.0000  0.0000  0.5000
O  0.1373  0.6373  0.2561
O  0.1373  0.6373  0.7439
O  0.3627  0.1373  0.2561
O  0.3627  0.1373  0.7439
O  0.5000  0.5000  0.5000
O  0.6373  0.8627  0.2561
O  0.6373  0.8627  0.7439
O  0.8627  0.3627  0.2561
O  0.8627  0.3627  0.7439

Entry 11:
Entry from Alexandria via LeMat-Bulk: TaCo2Ni after structural relaxation (PBE).

- E above lowest polymorph: 346 meV per atom
- SG: P4/mmm (123)
- D(E_F): 1.30 states/eV per atom
- ΔH_f (0 K): 64 meV per atom
- Magnetization: 2.93 μB per formula unit
- Raw total energy: -31.6 eV for the cell shown

a = 2.7198 Å, b = 2.7198 Å, c = 6.8494 Å
α = 90.00°, β = 90.00°, γ = 90.00°
Fractional coordinates of all 4 atoms:
Ta  0.0000  0.0000  0.0000
Co  0.5000  0.5000  0.2786
Co  0.5000  0.5000  0.7214
Ni  0.0000  0.0000  0.5000

Entry 12:
Entry from Alexandria via LeMat-Bulk: Pr3InOs after structural relaxation (PBE).

- E above lowest polymorph: 0 meV per atom
- SG: Fmmm (69)
- D(E_F): 0.70 states/eV per atom
- ΔH_f (0 K): -222 meV per atom
- Magnetization: 0.00 μB per formula unit
- Raw total energy: -58.8 eV for the cell shown

a = 9.6952 Å, b = 8.9550 Å, c = 6.0941 Å
α = 77.66°, β = 64.46°, γ = 37.88°
Fractional coordinates of all 10 atoms:
Pr  0.1959  0.5859  0.4141
Pr  0.2013  0.2013  0.7987
Pr  0.4141  0.8041  0.1959
Pr  0.5859  0.1959  0.8041
Pr  0.7987  0.7987  0.2013
Pr  0.8041  0.4141  0.5859
In  0.2041  0.7959  0.7959
In  0.7959  0.2041  0.2041
Os  0.2500  0.2500  0.2500
Os  0.7500  0.7500  0.7500